# MgZnSe2Br, relaxed, DFT PBE
# - Total magnetic moment: 0.0000 μB/atom
# - Uncorrected formation energy: -0.0988 eV/atom
# - Relative energy among the computed polymorphs: 0.00 eV per formula unit
data_MgZnSe2Br
_space_group_name_H-M_alt 'P 4/m m m'
_space_group_IT_number 123
_space_group_name_Hall '-P 4 2'
_cell_length_a 4.890
_cell_length_b 4.890
_cell_length_c 5.316
_cell_angle_alpha 90.00
_cell_angle_beta 90.00
_cell_angle_gamma 90.00
loop_
_atom_site_label
_atom_site_fract_x
_atom_site_fract_y
_atom_site_fract_z
Mg1 0.000 0.000 0.000
Zn1 0.500 0.500 0.500
Se1 0.000 0.500 0.500
Br1 0.500 0.500 0.000

# AlHgAuF6, relaxed, DFT PBE
# - Total magnetic moment: 0.0002 μB/atom
# - Uncorrected formation energy: -2.0516 eV/atom
data_AlHgAuF6
_space_group_name_H-M_alt 'P -3 1 c'
_space_group_IT_number 163
_space_group_name_Hall '-P 3 2c'
_cell_length_a 5.7496
_cell_length_b 5.7496
_cell_length_c 9.5372
_cell_angle_alpha 90.00
_cell_angle_beta 90.00
_cell_angle_gamma 120.00
loop_
_atom_site_label
_atom_site_fract_x
_atom_site_fract_y
_atom_site_fract_z
Al1 0.3333 0.6667 0.2500
Hg1 0.3333 0.6667 0.7500
Au1 0.0000 0.0000 0.0000
F1 0.0651 0.4072 0.1408

# LiEr2B2Rh5, relaxed, DFT PBE
# - Final energy: -6.8234 eV/atom
# - Total magnetic moment: 0.0000 μB/atom
data_LiEr2B2Rh5
_space_group_name_H-M_alt 'P 4/m b m'
_space_group_IT_number 127
_space_group_name_Hall '-P 4 2ab'
_cell_length_a 9.447
_cell_length_b 9.447
_cell_length_c 3.168
_cell_angle_alpha 90.00
_cell_angle_beta 90.00
_cell_angle_gamma 90.00
loop_
_atom_site_label
_atom_site_fract_x
_atom_site_fract_y
_atom_site_fract_z
Li1 0.000 0.000 0.000
Er1 0.175 0.325 0.000
B1 0.126 0.626 0.000
Rh1 0.000 0.500 0.500
Rh2 0.070 0.782 0.500

# CrGeS3, relaxed, DFT PBE
# - Total magnetic moment: 0.4880 μB/atom
# - Uncorrected formation energy: -0.4639 eV/atom
data_CrGeS3
_space_group_name_H-M_alt 'P 1 21/m 1'
_space_group_IT_number 11
_cell_length_a 6.264
_cell_length_b 3.488
_cell_length_c 9.169
_cell_angle_alpha 90.00
_cell_angle_beta 90.49
_cell_angle_gamma 90.00
loop_
_space_group_symop_operation_xyz
'x,y,z'
'-x,-y,-z'
'-x,y+1/2,-z'
'x,-y+1/2,z'
loop_
_atom_site_label
_atom_site_fract_x
_atom_site_fract_y
_atom_site_fract_z
Cr1 0.071 0.250 0.160
Ge1 0.427 0.250 0.809
S1 0.080 0.250 0.700
S2 0.228 0.750 0.007
S3 0.386 0.250 0.311

# HPdS6, relaxed, DFT PBE
# - Final energy: -4.1011 eV/atom
# - Total magnetic moment: 0.0000 μB/atom
data_HPdS6
_space_group_name_H-M_alt 'P -1'
_space_group_IT_number 2
_cell_length_a 5.807
_cell_length_b 6.023
_cell_length_c 6.573
_cell_angle_alpha 84.67
_cell_angle_beta 74.77
_cell_angle_gamma 82.63
loop_
_space_group_symop_operation_xyz
'x,y,z'
'-x,-y,-z'
loop_
_atom_site_label
_atom_site_fract_x
_atom_site_fract_y
_atom_site_fract_z
H1 0.000 0.000 0.000
Pd1 0.000 0.500 0.000
S1 0.116 0.771 0.346
S2 0.149 0.173 0.818
S3 0.274 0.482 0.204

# NaSnTe4, relaxed, DFT PBE
# - Total magnetic moment: 0.0000 μB/atom
# - Uncorrected formation energy: -0.2379 eV/atom
data_NaSnTe4
_space_group_name_H-M_alt 'P 1 2/c 1'
_space_group_IT_number 13
_cell_length_a 6.117
_cell_length_b 8.082
_cell_length_c 9.216
_cell_angle_alpha 90.00
_cell_angle_beta 108.19
_cell_angle_gamma 90.00
loop_
_space_group_symop_operation_xyz
'x,y,z'
'-x,-y,-z'
'-x,y,-z+1/2'
'x,-y,z+1/2'
loop_
_atom_site_label
_atom_site_fract_x
_atom_site_fract_y
_atom_site_fract_z
Na1 0.000 0.213 0.250
Sn1 0.500 0.249 0.750
Te1 0.238 0.447 0.885
Te2 0.270 0.002 0.032

# Zn2CdTe, relaxed, DFT PBE
# - Total magnetic moment: 0.0000 μB/atom
# - Uncorrected formation energy: 0.1330 eV/atom
# - Relative energy among the computed polymorphs: 0.48 eV per formula unit
data_Zn2CdTe
_space_group_name_H-M_alt 'C 1 2/m 1'
_space_group_IT_number 12
_cell_length_a 6.070
_cell_length_b 7.785
_cell_length_c 4.005
_cell_angle_alpha 90.00
_cell_angle_beta 106.27
_cell_angle_gamma 90.00
loop_
_space_group_symop_operation_xyz
'x,y,z'
'-x,-y,-z'
'-x,y,-z'
'x,-y,z'
'x+1/2,y+1/2,z'
'-x+1/2,-y+1/2,-z'
'-x+1/2,y+1/2,-z'
'x+1/2,-y+1/2,z'
loop_
_atom_site_label
_atom_site_fract_x
_atom_site_fract_y
_atom_site_fract_z
Zn1 0.250 0.250 0.000
Cd1 0.000 0.000 0.500
Te1 0.000 0.500 0.500

> total magnetic moment of number 5 (HPdS6)?

0.0000 μB/atom